LiSb2TeSe: relaxed, GGA-PBE.

Calculated values
- space group = P4/mmm, No. 123
- volume (Å³/f.u.) = 167
- mass density (g/cm3) = 4.54
- relative energy among the computed polymorphs (kcal/mol of atoms) = 0.00
- N(E_F) (states/eV per atom) = 0.869
- total moment (μB per formula unit) = 0.000

a b c (Å): 5.484 5.484 5.559
angles (deg): 90.00 90.00 90.00
Positions (direct):
Li 0.000 0.000 0.000
Sb 0.000 0.500 0.500
Sb 0.500 0.000 0.500
Te 0.500 0.500 0.000
Se 0.500 0.500 0.500